(1)
{
  "formula": "Ta2NiPt",
  "functional": "PBE",
  "state": "relaxed",
  "lattice_angstrom": [[-7.443, -5.268, 1.820], [-5.515, -7.333, 1.508], [-5.817, -6.038, 4.020]],
  "species": ["Ni", "Pt", "Ta", "Ta"],
  "fractional_positions": [[0.500, 0.500, 0.500], [0.754, 0.754, 0.754], [0.004, 0.004, 0.004], [0.242, 0.242, 0.242]],
  "m_tot_mub_per_cell": 0.00,
  "final_energy_ev_per_atom": -8.964,
  "rho_g_cm3": 16.0
}

(2)
{
  "formula": "LaAg2Au3",
  "functional": "PBE",
  "state": "relaxed",
  "lattice_angstrom": [[-0.633, 2.380, 4.053], [0.571, -4.707, 0.079], [13.281, 1.629, 1.118]],
  "species": ["La", "La", "Ag", "Ag", "Ag", "Ag", "Au", "Au", "Au", "Au", "Au", "Au"],
  "fractional_positions": [[0.000, 0.000, 0.250], [0.000, 0.000, 0.750], [0.667, 0.333, 0.425], [0.333, 0.667, 0.575], [0.333, 0.667, 0.925], [0.667, 0.333, 0.075], [0.000, 0.000, 0.500], [0.000, 0.000, 0.000], [0.667, 0.333, 0.637], [0.333, 0.667, 0.137], [0.667, 0.333, 0.863], [0.333, 0.667, 0.363]],
  "m_tot_mub_per_cell": 0.00,
  "final_energy_ev_per_atom": -3.793,
  "rho_g_cm3": 12.0
}

(3)
{
  "formula": "V2NiSe",
  "functional": "PBE",
  "state": "relaxed",
  "lattice_angstrom": [[5.434, 0.000, 0.000], [0.000, 5.434, 0.000], [2.717, 2.717, 5.209]],
  "species": ["Ni", "Ni", "Se", "Se", "V", "V", "V", "V"],
  "fractional_positions": [[0.500, 0.500, 0.000], [0.250, 0.750, 0.500], [0.000, 0.000, 0.000], [0.750, 0.250, 0.500], [0.592, 0.125, 0.250], [0.158, 0.625, 0.250], [0.375, 0.408, 0.750], [0.875, 0.842, 0.750]],
  "m_tot_mub_per_cell": 1.35,
  "rho_g_cm3": 5.2,
  "formation_energy_uncorrected_ev_per_atom": 0.489
}